Arrangement a

A geometry-optimized Mg2P structure, computed with PBE-GGA.

Results
Its density of states at the Fermi level is 0.22 states/eV/f.u. The mass density comes out at 2.12 g cm⁻³.

Cell: 4.315 4.315 13.365 Å, 90.00 90.00 90.00°
Sites, in units of the cell vectors:
Mg  0.000  0.500  0.000
Mg  0.500  0.000  0.000
Mg  0.500  0.000  0.500
Mg  0.000  0.500  0.500
Mg  0.000  0.500  0.250
Mg  0.000  0.500  0.750
Mg  0.500  0.000  0.750
Mg  0.500  0.000  0.250
P  0.000  0.000  0.641
P  0.000  0.000  0.359
P  0.500  0.500  0.141
P  0.500  0.500  0.859



Arrangement b

A geometry-optimized Mg2P structure, computed with PBE-GGA.

Results
Its density of states at the Fermi level is 1.28 states/eV/f.u. The mass density comes out at 1.92 g cm⁻³.

Cell: 3.965 3.965 5.043 Å, 90.00 90.00 120.00°
Sites, in units of the cell vectors:
Mg  0.667  0.333  0.237
Mg  0.333  0.667  0.763
P  0.000  0.000  0.000



The structure with the greatest stability is arrangement a.